No. 1
ZnAsP2 | GGA-PBE | relaxed

Structure (CIF):
```
data_ZnAsP2
_chemical_formula_sum 'Zn2 As2 P4'
_cell_length_a 4.796
_cell_length_b 4.796
_cell_length_c 5.703
_cell_angle_alpha 90.00
_cell_angle_beta 90.00
_cell_angle_gamma 90.00
_space_group_name_H-M_alt 'I 4/m m m'
_space_group_IT_number 139
_space_group_name_Hall '-I 4 2'
loop_
_atom_site_label
_atom_site_type_symbol
_atom_site_fract_x
_atom_site_fract_y
_atom_site_fract_z
Zn1 Zn 0.000 0.000 0.000
As1 As 0.000 0.000 0.500
P1 P 0.000 0.500 0.250
```

Summary:
E_form	0.5052	eV/atom



No. 2
Pu5GeRu2 | GGA-PBE | relaxed

Structure (CIF):
```
data_Pu5GeRu2
_chemical_formula_sum 'Pu20 Ge4 Ru8'
_cell_length_a 7.544
_cell_length_b 7.544
_cell_length_c 12.578
_cell_angle_alpha 90.00
_cell_angle_beta 90.00
_cell_angle_gamma 90.00
_space_group_name_H-M_alt 'I 4/m c m'
_space_group_IT_number 140
_space_group_name_Hall '-I 4 2c'
loop_
_atom_site_label
_atom_site_type_symbol
_atom_site_fract_x
_atom_site_fract_y
_atom_site_fract_z
Pu1 Pu 0.000 0.000 0.000
Pu2 Pu 0.160 0.340 0.147
Ge1 Ge 0.000 0.000 0.250
Ru1 Ru 0.143 0.357 0.500
```

Summary:
E_form	-0.2369	eV/atom



No. 3
Ba4Sc3UO12 | GGA-PBE | relaxed

Structure (CIF):
```
data_Ba4Sc3UO12
_chemical_formula_sum 'Ba8 Sc6 U2 O24'
_cell_length_a 8.489
_cell_length_b 8.489
_cell_length_c 8.489
_cell_angle_alpha 90.00
_cell_angle_beta 90.00
_cell_angle_gamma 90.00
_space_group_name_H-M_alt 'I m -3 m'
_space_group_IT_number 229
_space_group_name_Hall '-I 4 2 3'
loop_
_atom_site_label
_atom_site_type_symbol
_atom_site_fract_x
_atom_site_fract_y
_atom_site_fract_z
Ba1 Ba 0.250 0.250 0.250
Sc1 Sc 0.000 0.000 0.500
U1 U 0.000 0.000 0.000
O1 O 0.000 0.000 0.245
O2 O 0.000 0.250 0.500
```

Summary:
uncorrected formation energy	-299.4	kJ per mole of atoms



No. 4
Mg4CdIn | GGA-PBE | relaxed

Structure (CIF):
```
data_Mg4CdIn
_chemical_formula_sum 'Mg16 Cd4 In4'
_cell_length_a 8.306
_cell_length_b 8.306
_cell_length_c 8.306
_cell_angle_alpha 90.00
_cell_angle_beta 90.00
_cell_angle_gamma 90.00
_space_group_name_H-M_alt 'F -4 3 m'
_space_group_IT_number 216
_space_group_name_Hall 'F -4 2 3'
loop_
_atom_site_label
_atom_site_type_symbol
_atom_site_fract_x
_atom_site_fract_y
_atom_site_fract_z
Mg1 Mg 0.125 0.125 0.125
Cd1 Cd 0.250 0.250 0.750
In1 In 0.000 0.000 0.500
```

Summary:
E_form	0.0503	eV/atom



No. 5
ScNb2C3 | GGA-PBE | relaxed

Structure (CIF):
```
data_ScNb2C3
_chemical_formula_sum 'Sc4 Nb8 C12'
_cell_length_a 6.414
_cell_length_b 4.535
_cell_length_c 9.600
_cell_angle_alpha 90.00
_cell_angle_beta 90.00
_cell_angle_gamma 90.00
_space_group_name_H-M_alt 'P n m a'
_space_group_IT_number 62
loop_
_space_group_symop_operation_xyz
'x,y,z'
'-x,-y,-z'
'-x+1/2,-y,z+1/2'
'x+1/2,y,-z+1/2'
'x+1/2,-y+1/2,-z+1/2'
'-x+1/2,y+1/2,z+1/2'
'-x,y+1/2,-z'
'x,-y+1/2,z'
loop_
_atom_site_label
_atom_site_type_symbol
_atom_site_fract_x
_atom_site_fract_y
_atom_site_fract_z
Sc1 Sc 0.126 0.250 0.081
Nb1 Nb 0.123 0.250 0.752
Nb2 Nb 0.125 0.250 0.417
C1 C 0.122 0.750 0.416
C2 C 0.123 0.750 0.750
C3 C 0.132 0.750 0.087
```

Summary:
E_form	-0.5697	eV/atom



No. 6
AcHo3Tm2 | GGA-PBE | relaxed

Structure (CIF):
```
data_AcHo3Tm2
_chemical_formula_sum 'Ac4 Ho12 Tm8'
_cell_length_a 9.080
_cell_length_b 9.873
_cell_length_c 8.969
_cell_angle_alpha 90.00
_cell_angle_beta 102.29
_cell_angle_gamma 90.00
_space_group_name_H-M_alt 'C 1 2/c 1'
_space_group_IT_number 15
loop_
_space_group_symop_operation_xyz
'x,y,z'
'-x,-y,-z'
'-x,y,-z+1/2'
'x,-y,z+1/2'
'x+1/2,y+1/2,z'
'-x+1/2,-y+1/2,-z'
'-x+1/2,y+1/2,-z+1/2'
'x+1/2,-y+1/2,z+1/2'
loop_
_atom_site_label
_atom_site_type_symbol
_atom_site_fract_x
_atom_site_fract_y
_atom_site_fract_z
Ac1 Ac 0.000 0.071 0.250
Ho1 Ho 0.000 0.413 0.250
Ho2 Ho 0.230 0.410 0.989
Tm1 Tm 0.126 0.257 0.626
```

Summary:
E_form	0.1086	eV/atom



No. 7
AlTc2Os | GGA-PBE | relaxed

Structure (CIF):
```
data_AlTc2Os
_chemical_formula_sum 'Al1 Tc2 Os1'
_cell_length_a 2.802
_cell_length_b 4.019
_cell_length_c 5.126
_cell_angle_alpha 90.00
_cell_angle_beta 90.00
_cell_angle_gamma 90.00
_space_group_name_H-M_alt 'P m m m'
_space_group_IT_number 47
loop_
_space_group_symop_operation_xyz
'x,y,z'
'-x,-y,-z'
'-x,-y,z'
'x,y,-z'
'x,-y,-z'
'-x,y,z'
'-x,y,-z'
'x,-y,z'
loop_
_atom_site_label
_atom_site_type_symbol
_atom_site_fract_x
_atom_site_fract_y
_atom_site_fract_z
Al1 Al 0.000 0.000 0.000
Tc1 Tc 0.500 0.500 0.239
Os1 Os 0.000 0.000 0.500
```

Summary:
E_form	-0.1249	eV/atom



No. 8
CrCoIr2 | GGA-PBE | relaxed

Structure (CIF):
```
data_CrCoIr2
_chemical_formula_sum 'Cr4 Co4 Ir8'
_cell_length_a 5.326
_cell_length_b 5.326
_cell_length_c 10.405
_cell_angle_alpha 90.00
_cell_angle_beta 90.00
_cell_angle_gamma 90.00
_space_group_name_H-M_alt 'I -4 2 d'
_space_group_IT_number 122
_space_group_name_Hall 'I -4 2bw'
loop_
_atom_site_label
_atom_site_type_symbol
_atom_site_fract_x
_atom_site_fract_y
_atom_site_fract_z
Cr1 Cr 0.000 0.000 0.000
Co1 Co 0.000 0.000 0.500
Ir1 Ir 0.245 0.250 0.625
```

Summary:
E_form	0.9166	eV/atom



DOS(E_F) (computed, states/eV per cell): 3.151; 126.511; 27.702; 6.853; 8.470; 42.024; 2.306; 13.406
Electronic total energy (computed, eV per cell): -29.44; -386.90; -319.07; -38.92; -230.24; -104.53; -36.20; -123.14